[1]
DFT (PBE-GGA) results for YAgBAu after structural relaxation.

Unit cell a=6.5406 b=6.5406 c=6.5406 alpha=90.00 beta=90.00 gamma=90.00
Last column: nearest neighbours and their distance in Å.
Space group F-43m (No. 216)
Symmetry-distinct sites (fractional):
Y 0.0000 0.0000 0.0000 [4 per cell]  4 B 2.83, 4 Ag 2.83
Ag 0.2500 0.2500 0.2500 [4 per cell]  4 Y 2.83, 4 Au 2.83
B 0.2500 0.2500 0.7500 [4 per cell]  4 Y 2.83, 4 Au 2.83
Au 0.0000 0.0000 0.5000 [4 per cell]  4 B 2.83, 4 Ag 2.83

Calculated values
The distance to the lowest polymorph of the same formula is 29 meV per atom. The final energy is -4.63 eV per atom.

=====

[2]
DFT (PBE-GGA) results for Ta4Cd3W2C3 after structural relaxation.

Unit cell a=9.3980 b=5.4296 c=14.8122 alpha=90.00 beta=102.27 gamma=90.00
Last column: nearest neighbours and their distance in Å.
Space group C2/c (No. 15)
Symmetry-distinct sites (fractional):
Ta 0.1108 0.0836 0.0830 [8 per cell]  3 C 2.16-2.17
Ta 0.2225 0.0833 0.4171 [8 per cell]  3 C 2.16-2.17
Cd 0.0000 0.0972 0.7500 [4 per cell]  6 Cd 3.01-3.20, 4 Ta 3.04, 2 W 3.05
Cd 0.1603 0.4228 0.2505 [8 per cell]  6 Cd 3.01-3.20, 4 Ta 3.04-3.05, 2 W 3.05-3.06
W 0.0577 0.4166 0.9236 [8 per cell]  3 C 2.12-2.13
C 0.0842 0.2477 0.5000 [8 per cell]  2 W 2.13, 4 Ta 2.16-2.17
C 0.2500 0.2500 0.0000 [4 per cell]  2 W 2.12, 4 Ta 2.17

Calculated values
The final energy is -8.81 eV per atom.

=====

[3]
DFT (PBE-GGA) results for Be2RePt2 after structural relaxation.

Unit cell a=6.7504 b=6.7504 c=2.6977 alpha=90.00 beta=90.00 gamma=90.00
Last column: nearest neighbours and their distance in Å.
Space group P4/mbm (No. 127)
Symmetry-distinct sites (fractional):
Be 0.1273 0.3727 0.0000 [4 per cell]  6 Pt 2.37-2.43, 1 Be 2.43
Re 0.0000 0.0000 0.0000 [2 per cell]  4 Be 2.66, 2 Re 2.70, 8 Pt 2.85
Pt 0.1689 0.6689 0.5000 [4 per cell]  6 Be 2.37-2.43

Calculated values
The final energy is -6.77 eV per atom.

=====

[4]
DFT (PBE-GGA) results for Y2TmCo9 after structural relaxation.

Unit cell a=4.9488 b=4.9488 c=24.2623 alpha=90.00 beta=90.00 gamma=120.00
Last column: nearest neighbours and their distance in Å.
Space group R-3m (No. 166, hexagonal axes)
Symmetry-distinct sites (fractional):
Y 0.0000 0.0000 0.1396 [6 per cell]  12 Co 2.86-3.08, 3 Y 3.14
Tm 0.0000 0.0000 0.0000 [3 per cell]  18 Co 2.86-3.16
Co 0.0000 0.0000 0.3347 [6 per cell]  6 Co 2.41-2.45
Co 0.0000 0.0000 0.5000 [3 per cell]  6 Co 2.53
Co 0.0024 0.5012 0.9191 [18 per cell]  7 Co 2.41-2.53

Calculated values
The energy of formation from the pure elements comes out at -199.1 kJ/mol of formula units. The final energy is -6.95 eV per atom.

=====

[5]
DFT (PBE-GGA) results for ErZrAu after structural relaxation.

Unit cell a=4.8589 b=4.8589 c=6.9756 alpha=90.00 beta=90.00 gamma=120.00
Last column: nearest neighbours and their distance in Å.
Space group P-6m2 (No. 187)
Symmetry-distinct sites (fractional):
Er 0.0000 0.0000 0.2397 [2 per cell]  3 Au 2.82
Zr 0.3333 0.6667 0.0000 [1 per cell]  6 Er 3.27, 6 Au 3.44, 2 Zr 3.49
Zr 0.3333 0.6667 0.5000 [1 per cell]  6 Au 3.18, 6 Er 3.34, 2 Zr 3.49
Au 0.6667 0.3333 0.2855 [2 per cell]  3 Er 2.82, 1 Au 2.99

Calculated values
The energy of formation from the pure elements comes out at -16.3 kJ/mol of formula units. The distance to the lowest polymorph of the same formula is 0 meV per atom. The final energy is -5.52 eV per atom.

=====

[6]
DFT (PBE-GGA) results for BeMoPd2 after structural relaxation.

Unit cell a=6.0429 b=6.0429 c=6.0429 alpha=90.00 beta=90.00 gamma=90.00
Last column: nearest neighbours and their distance in Å.
Space group F-43m (No. 216)
Symmetry-distinct sites (fractional):
Be 0.0000 0.0000 0.0000 [4 per cell]  4 Pd 2.62, 4 Mo 2.62
Mo 0.2500 0.2500 0.7500 [4 per cell]  4 Be 2.62, 4 Pd 2.62
Pd 0.0000 0.0000 0.5000 [4 per cell]  4 Mo 2.62, 4 Pd 2.62
Pd 0.2500 0.2500 0.2500 [4 per cell]  4 Be 2.62, 4 Pd 2.62

Calculated values
The final energy is -6.16 eV per atom.

=====

[7]
DFT (PBE-GGA) results for HgTePt after structural relaxation.

Unit cell a=6.5875 b=6.5875 c=6.5875 alpha=90.00 beta=90.00 gamma=90.00
Last column: nearest neighbours and their distance in Å.
Space group F-43m (No. 216)
Symmetry-distinct sites (fractional):
Hg 0.0000 0.0000 0.0000 [4 per cell]  4 Pt 2.85
Te 0.0000 0.0000 0.5000 [4 per cell]  4 Pt 2.85
Pt 0.2500 0.2500 0.2500 [4 per cell]  4 Te 2.85, 4 Hg 2.85

Calculated values
The distance to the lowest polymorph of the same formula is 0 meV per atom. The final energy is -3.21 eV per atom.

=====

[8]
DFT (PBE-GGA) results for TlTeAuO after structural relaxation.

Unit cell a=4.1458 b=4.1458 c=10.1169 alpha=90.00 beta=90.00 gamma=90.00
Last column: nearest neighbours and their distance in Å.
Space group P4/nmm (No. 129, origin choice 2)
Symmetry-distinct sites (fractional):
Tl 0.2500 0.2500 0.1070 [2 per cell]  4 O 2.34
Te 0.2500 0.2500 0.6918 [2 per cell]  4 Au 2.84
Au 0.2500 0.7500 0.5000 [2 per cell]  4 Te 2.84, 4 Au 2.93
O 0.2500 0.7500 0.0000 [2 per cell]  4 Tl 2.34

Calculated values
The distance to the lowest polymorph of the same formula is 0 meV per atom. The final energy is -3.60 eV per atom.

=====

[9]
DFT (PBE-GGA) results for Tm2Ni2C3N after structural relaxation.

Unit cell a=3.4502 b=3.4502 c=7.3302 alpha=90.00 beta=90.00 gamma=90.00
Last column: nearest neighbours and their distance in Å.
Space group P4mm (No. 99)
Symmetry-distinct sites (fractional):
Tm 0.0000 0.0000 0.0000 [1 per cell]  1 N 2.30, 4 C 2.44
Tm 0.5000 0.5000 0.3343 [1 per cell]  1 C 2.33, 4 N 2.44
Ni 0.0000 0.5000 0.6597 [2 per cell]  4 C 2.07-2.12
C 0.0000 0.0000 0.5039 [1 per cell]  1 N 1.39
C 0.5000 0.5000 0.0167 [1 per cell]  1 C 1.39
C 0.5000 0.5000 0.8266 [1 per cell]  1 C 1.39
N 0.0000 0.0000 0.3139 [1 per cell]  1 C 1.39

Calculated values
The final energy is -7.49 eV per atom.

=====

[10]
DFT (PBE-GGA) results for Na4Os4O11 after structural relaxation.

Unit cell a=5.3163 b=7.5421 c=5.3781 alpha=90.00 beta=90.01 gamma=90.00
Last column: nearest neighbours and their distance in Å.
Space group Pm (No. 6)
Symmetry-distinct sites (fractional):
Na 0.0000 0.0000 0.0000 [1 per cell]  4 O 2.24-2.48
Na 0.0031 0.5000 0.0616 [1 per cell]  7 O 2.35-2.60
Na 0.5048 0.5000 0.5690 [1 per cell]  5 O 2.25-2.48
Na 0.5298 0.0000 0.4992 [1 per cell]  4 O 2.25-2.43
Os 0.0171 0.2523 0.5331 [2 per cell]  6 O 1.93-1.97
Os 0.5128 0.2569 0.0335 [2 per cell]  5 O 1.91-2.01
O 0.1095 0.0000 0.5522 [1 per cell]  2 Os 1.97
O 0.2331 0.2991 0.8174 [2 per cell]  2 Os 1.91-1.94
O 0.3045 0.2990 0.3177 [2 per cell]  2 Os 1.91-1.95
O 0.4171 0.0000 0.0608 [1 per cell]  2 Os 2.01, 1 Na 2.24
O 0.7308 0.2218 0.7515 [2 per cell]  2 Os 1.93-1.94
O 0.8036 0.2198 0.2445 [2 per cell]  2 Os 1.94
O 0.9240 0.5000 0.5189 [1 per cell]  2 Os 1.93

Calculated values
The final energy is -6.62 eV per atom.